(1)
Compound: TiBrCl2
Source: the Alexandria database
Functional: PBE
Structure: optimized geometry

The total energy comes out at -4.702 eV/atom.

Cell: 6.812 6.812 6.876 Å, 118.68 118.68 27.02°
Positions (direct):
Ti  0.000  0.000  0.000
Br  0.651  0.651  0.292
Cl  0.361  0.361  0.999
Cl  0.500  0.500  0.732

---

(2)
Compound: TiBr2Cl8
Source: the Alexandria database
Functional: PBE
Structure: optimized geometry

The total energy comes out at -2.956 eV/atom.

Cell: 6.243 7.869 8.865 Å, 72.48 88.34 82.00°
Positions (direct):
Ti  0.000  0.000  0.000
Br  0.273  0.466  0.337
Br  0.727  0.534  0.663
Cl  0.023  0.814  0.255
Cl  0.049  0.757  0.906
Cl  0.400  0.916  0.967
Cl  0.480  0.204  0.411
Cl  0.520  0.796  0.589
Cl  0.600  0.084  0.033
Cl  0.951  0.243  0.094
Cl  0.977  0.186  0.745

---

(3)
Compound: TiBr3Cl
Source: the Alexandria database
Functional: PBE
Structure: optimized geometry

The total energy comes out at -3.596 eV/atom.

Cell: 5.076 5.076 5.076 Å, 90.00 90.00 90.00°
Positions (direct):
Ti  0.000  0.000  0.000
Br  0.000  0.000  0.500
Br  0.000  0.500  0.000
Br  0.500  0.000  0.000
Cl  0.500  0.500  0.500

---

(4)
Compound: TiTl2Br5Cl
Source: the Alexandria database
Functional: PBE
Structure: optimized geometry

The total energy comes out at -3.625 eV/atom.

Cell: 7.369 7.369 7.369 Å, 118.91 118.91 91.90°
Positions (direct):
Ti  0.000  0.000  0.000
Tl  0.275  0.775  0.500
Tl  0.775  0.275  0.500
Br  0.236  0.236  0.479
Br  0.236  0.757  0.000
Br  0.754  0.754  0.000
Br  0.757  0.236  0.000
Br  0.757  0.757  0.521
Cl  0.226  0.226  0.000

---

(5)
Compound: TiTlBrCl4
Source: the Alexandria database
Functional: PBE
Structure: optimized geometry

The total energy comes out at -4.075 eV/atom.

Cell: 8.546 8.546 9.744 Å, 102.89 102.89 75.14°
Positions (direct):
Ti  0.150  0.150  0.282
Ti  0.850  0.850  0.718
Tl  0.340  0.340  0.934
Tl  0.660  0.660  0.066
Br  0.497  0.497  0.213
Br  0.503  0.503  0.787
Cl  0.018  0.018  0.780
Cl  0.034  0.374  0.193
Cl  0.209  0.209  0.514
Cl  0.374  0.034  0.193
Cl  0.626  0.966  0.807
Cl  0.791  0.791  0.486
Cl  0.966  0.626  0.807
Cl  0.982  0.982  0.220

---

(6)
Compound: Tl3BrCl5
Source: the Alexandria database
Functional: PBE
Structure: optimized geometry

The total energy comes out at -2.742 eV/atom.

Cell: 8.325 8.325 10.979 Å, 113.34 113.34 71.14°
Positions (direct):
Tl  0.000  0.000  0.000
Tl  0.000  0.000  0.500
Tl  0.330  0.330  0.338
Tl  0.340  0.340  0.831
Tl  0.660  0.660  0.169
Tl  0.670  0.670  0.662
Br  0.114  0.114  0.796
Br  0.886  0.886  0.204
Cl  0.076  0.600  0.829
Cl  0.221  0.221  0.545
Cl  0.263  0.737  0.500
Cl  0.400  0.924  0.171
Cl  0.444  0.444  0.119
Cl  0.556  0.556  0.881
Cl  0.600  0.076  0.829
Cl  0.737  0.263  0.500
Cl  0.779  0.779  0.455
Cl  0.924  0.400  0.171

---

(7)
Compound: TlBrCl2
Source: the Alexandria database
Functional: PBE
Structure: optimized geometry

The total energy comes out at -2.326 eV/atom.

Cell: 4.696 5.734 5.734 Å, 55.05 90.00 90.00°
Positions (direct):
Tl  0.000  0.000  0.000
Br  0.500  0.223  0.223
Cl  0.000  0.497  0.497
Cl  0.500  0.775  0.775

---

(8)
Compound: Tl5Br5Cl
Source: the Alexandria database
Functional: PBE
Structure: optimized geometry

The total energy comes out at -2.792 eV/atom.

Cell: 8.080 8.080 9.305 Å, 107.10 107.10 46.75°
Positions (direct):
Tl  0.000  0.000  0.000
Tl  0.338  0.338  0.665
Tl  0.346  0.346  0.180
Tl  0.654  0.654  0.820
Tl  0.662  0.662  0.335
Br  0.175  0.175  0.848
Br  0.178  0.178  0.328
Br  0.500  0.500  0.500
Br  0.822  0.822  0.672
Br  0.825  0.825  0.152
Cl  0.500  0.500  0.000

---

Number 1: total magnetic moment 0.43 Bohr magnetons per cell. Number 2: total magnetic moment 0.00 Bohr magnetons per cell. Number 3: total magnetic moment 0.06 Bohr magnetons per cell. Number 4: total magnetic moment 0.00 Bohr magnetons per cell. Number 5: total magnetic moment 0.00 Bohr magnetons per cell. Number 6: total magnetic moment 0.00 Bohr magnetons per cell. Number 7: total magnetic moment 0.00 Bohr magnetons per cell. Number 8: total magnetic moment 0.00 Bohr magnetons per cell.